First-principles (PBE with a Hubbard U) data for crystalline RbMnF3 at its relaxed geometry, as listed in the Alexandria database.

Computed properties:
Calculated volume (Å³ per cell): 80.0
Raw total energy (eV/atom): -5.58
DOS(E_F) (states/eV per atom): 0.00
Total moment (μB per formula unit): 5.0

Cell lengths 4.3090, 4.3090, 4.3090 Å; angles 90.00, 90.00, 90.00 degrees
Last column: nearest neighbours and their distance in Å.
Sites, in units of the cell vectors:
1 Mn 0.0000 0.0000 0.0000  6 F 2.15
2 Rb 0.5000 0.5000 0.5000  12 F 3.05
3 F 0.0000 0.5000 0.0000  2 Mn 2.15
4 F 0.0000 0.0000 0.5000  2 Mn 2.15
5 F 0.5000 0.0000 0.0000  2 Mn 2.15